Here is Mg2VPbF8 after structural relaxation from the Alexandria database. Energies are from GGA+U.

```
Mg2VPbF8
1.0
-2.9825 3.6666 -1.8073
-4.0015 -3.0587 0.2269
-1.2105 2.0442 6.1520
F Pb Mg V
8 1 2 1
direct
0.7812 0.2233 0.7823
0.6626 0.6698 0.5001
0.7817 0.2238 0.2177
0.2188 0.7767 0.2177
0.6916 0.6956 0.0000
0.3374 0.3302 0.4999
0.2183 0.7762 0.7823
0.3084 0.3044 0.0000
0.0000 0.0000 0.5000
0.5000 0.5000 0.2378
0.5000 0.5000 0.7622
0.0000 0.0000 0.0000
```

Final energy (eV/atom): -5.4179
Total moment (μB per cell): 3.00